No. 1
Compound: ScBe4In
Source: the Alexandria database
Functional: GGA-PBE
Structure: optimized geometry

Total DFT energy (no corrections) = -3.878 eV/atom
ΔE_f = 0.118 eV per atom

Structure (POSCAR):
```
ScBe4In
1.0
0.000 3.380 3.380
3.380 0.000 3.380
3.380 3.380 0.000
Be Sc In
4 1 1
Direct
0.368 0.368 0.897 Be
0.368 0.368 0.368 Be
0.897 0.368 0.368 Be
0.368 0.897 0.368 Be
0.000 0.000 0.000 Sc
0.750 0.750 0.750 In
```

No. 2
Compound: ScBeIn
Source: the Alexandria database
Functional: GGA-PBE
Structure: optimized geometry

Total DFT energy (no corrections) = -4.349 eV/atom
Excess energy over the best structure of this formula in the dataset = 0.126 eV/atom
ΔE_f = -0.084 eV per atom

Structure (POSCAR):
```
ScBeIn
1.0
-3.372 4.157 1.229
-1.982 -3.365 -2.162
-2.597 -3.544 3.290
Sc Be In
2 2 2
Direct
0.545 0.138 0.378 Sc
0.008 0.638 0.841 Sc
0.436 0.356 0.835 Be
0.551 0.856 0.950 Be
0.163 0.412 0.449 In
0.937 0.911 0.223 In
```

No. 3
Compound: ScBeIn
Source: the Alexandria database
Functional: GGA-PBE
Structure: optimized geometry

Total DFT energy (no corrections) = -4.332 eV/atom
Excess energy over the best structure of this formula in the dataset = 0.143 eV/atom
ΔE_f = -0.067 eV per atom

Structure (POSCAR):
```
ScBeIn
1.0
-0.107 1.135 -7.798
5.628 -1.761 -0.334
-1.387 -4.317 -0.609
In Sc Be
4 4 4
Direct
0.000 0.500 0.000 In
0.000 0.000 0.000 In
0.500 0.500 0.500 In
0.500 0.000 0.500 In
0.666 0.750 0.000 Sc
0.834 0.250 0.500 Sc
0.334 0.250 0.000 Sc
0.166 0.750 0.500 Sc
0.332 0.750 0.000 Be
0.832 0.750 0.500 Be
0.668 0.250 0.000 Be
0.168 0.250 0.500 Be
```

No. 4
Compound: ScBeIn
Source: the Alexandria database
Functional: GGA-PBE
Structure: optimized geometry

Total DFT energy (no corrections) = -4.261 eV/atom
Excess energy over the best structure of this formula in the dataset = 0.214 eV/atom
ΔE_f = 0.004 eV per atom

Structure (POSCAR):
```
ScBeIn
1.0
-5.885 0.220 1.514
-5.452 -2.654 0.455
-0.109 -1.083 2.896
In Sc Be
1 1 1
Direct
0.646 0.646 0.354 In
0.352 0.352 0.648 Sc
0.002 0.002 0.998 Be
```

No. 5
Compound: ScBeIn
Source: the Alexandria database
Functional: GGA-PBE
Structure: optimized geometry

Total DFT energy (no corrections) = -4.388 eV/atom
Excess energy over the best structure of this formula in the dataset = 0.088 eV/atom
ΔE_f = -0.122 eV per atom

Structure (POSCAR):
```
ScBeIn
1.0
-1.463 -4.241 -2.376
4.500 -4.399 0.786
-1.856 0.577 3.532
Sc Be In
2 2 2
Direct
0.538 0.619 0.359 Sc
0.452 0.187 0.599 Sc
0.131 0.631 0.661 Be
0.284 0.939 0.893 Be
0.901 0.923 0.192 In
0.001 0.384 0.972 In
```

No. 6
Compound: ScBeIn
Source: the Alexandria database
Functional: GGA-PBE
Structure: optimized geometry

Total DFT energy (no corrections) = -4.343 eV/atom
Excess energy over the best structure of this formula in the dataset = 0.133 eV/atom
ΔE_f = -0.077 eV per atom

Structure (POSCAR):
```
ScBeIn
1.0
5.901 0.000 0.000
0.000 4.374 0.000
0.000 0.000 8.332
In Be Sc
4 4 4
Direct
0.978 0.250 0.715 In
0.022 0.750 0.285 In
0.478 0.250 0.785 In
0.522 0.750 0.215 In
0.326 0.250 0.090 Be
0.826 0.250 0.410 Be
0.174 0.750 0.590 Be
0.674 0.750 0.910 Be
0.180 0.750 0.924 Sc
0.820 0.250 0.076 Sc
0.320 0.250 0.424 Sc
0.680 0.750 0.576 Sc
```

No. 7
Compound: ScBeIn
Source: the Alexandria database
Functional: GGA-PBE
Structure: optimized geometry

Total DFT energy (no corrections) = -4.459 eV/atom
Excess energy over the best structure of this formula in the dataset = 0.016 eV/atom
ΔE_f = -0.194 eV per atom

Structure (POSCAR):
```
ScBeIn
1.0
-3.796 -3.940 0.644
2.672 -4.046 2.617
-1.259 -0.479 4.103
Sc Be In
2 2 2
Direct
0.807 0.254 0.442 Sc
0.294 0.741 0.455 Sc
0.783 0.603 0.779 Be
0.156 0.230 0.779 Be
0.868 0.844 0.116 In
0.397 0.315 0.116 In
```

No. 8
Compound: Sc2BeIn
Source: the Alexandria database
Functional: GGA-PBE
Structure: optimized geometry

Total DFT energy (no corrections) = -4.753 eV/atom
Excess energy over the best structure of this formula in the dataset = 0.275 eV/atom
ΔE_f = 0.029 eV per atom

Structure (POSCAR):
```
Sc2BeIn
1.0
5.521 0.015 0.000
2.401 4.972 0.000
-3.961 -2.493 2.929
In Be Sc
1 1 2
Direct
0.750 0.250 0.500 In
0.500 0.500 0.000 Be
0.250 0.750 0.500 Sc
0.000 0.000 0.000 Sc
```

Look up the total DFT energy (no corrections) of the fourth one.
-4.261 eV/atom

The highest total DFT energy (no corrections) belongs to which entry?
ScBe4In